A | Material: Tb6Y12Ho
Method: DFT, GGA-PBE
State: optimized geometry

Structure (CIF):
```
data_Tb6Y12Ho
_cell_length_a 11.8951
_cell_length_b 11.8951
_cell_length_c 15.3151
_cell_angle_alpha 90.00
_cell_angle_beta 90.00
_cell_angle_gamma 120.00
_symmetry_space_group_name_H-M 'R -3'
_symmetry_Int_Tables_number 148
_symmetry_space_group_name_Hall '-R 3'
loop_
_atom_site_label
_atom_site_type_symbol
_atom_site_fract_x
_atom_site_fract_y
_atom_site_fract_z
Tb1 Tb 0.0129 0.4243 0.1805
Y1 Y 0.0113 0.8323 0.6905
Y2 Y 0.0431 0.8518 0.9147
Ho1 Ho 0.0000 0.0000 0.5000
```

B | Material: Tb6Y12Ho
Method: DFT, GGA-PBE
State: optimized geometry

Structure (CIF):
```
data_Tb6Y12Ho
_cell_length_a 14.6774
_cell_length_b 14.6774
_cell_length_c 10.3303
_cell_angle_alpha 90.00
_cell_angle_beta 90.00
_cell_angle_gamma 120.00
_symmetry_space_group_name_H-M 'R -3'
_symmetry_Int_Tables_number 148
_symmetry_space_group_name_Hall '-R 3'
loop_
_atom_site_label
_atom_site_type_symbol
_atom_site_fract_x
_atom_site_fract_y
_atom_site_fract_z
Tb1 Tb 0.0524 0.8399 0.2617
Y1 Y 0.0547 0.7990 0.5808
Y2 Y 0.0658 0.8391 0.9168
Ho1 Ho 0.0000 0.0000 0.5000
```

Stability ranking, top and bottom: A is the most stable and B is the least stable.

A | Material: Tb2HoZn2
Method: DFT, GGA-PBE
State: optimized geometry

Structure (CIF):
```
data_Tb2HoZn2
_cell_length_a 5.330
_cell_length_b 15.223
_cell_length_c 6.140
_cell_angle_alpha 90.00
_cell_angle_beta 90.00
_cell_angle_gamma 90.00
_symmetry_space_group_name_H-M 'C m c 21'
_symmetry_Int_Tables_number 36
_symmetry_space_group_name_Hall 'C 2c -2'
loop_
_atom_site_label
_atom_site_type_symbol
_atom_site_fract_x
_atom_site_fract_y
_atom_site_fract_z
Tb1 Tb 0.000 0.044 0.000
Tb2 Tb 0.000 0.202 0.586
Ho1 Ho 0.000 0.418 0.841
Zn1 Zn 0.000 0.227 0.096
Zn2 Zn 0.000 0.380 0.328
```

B | Material: Tb2HoZn2
Method: DFT, GGA-PBE
State: optimized geometry

Structure (CIF):
```
data_Tb2HoZn2
_cell_length_a 3.613
_cell_length_b 5.137
_cell_length_c 13.341
_cell_angle_alpha 90.00
_cell_angle_beta 97.80
_cell_angle_gamma 90.00
_symmetry_space_group_name_H-M 'P 1 21/m 1'
_symmetry_Int_Tables_number 11
_symmetry_space_group_name_Hall '-P 2yb'
loop_
_atom_site_label
_atom_site_type_symbol
_atom_site_fract_x
_atom_site_fract_y
_atom_site_fract_z
Tb1 Tb 0.046 0.250 0.092
Tb2 Tb 0.232 0.250 0.465
Ho1 Ho 0.144 0.750 0.287
Zn1 Zn 0.361 0.750 0.721
Zn2 Zn 0.450 0.250 0.900
```

Stability ranking, top and bottom: B is the most stable and A is the least stable.

A | Material: Tb2HoZn
Method: DFT, GGA-PBE
State: optimized geometry

Structure (CIF):
```
data_Tb2HoZn
_cell_length_a 3.5599
_cell_length_b 3.5599
_cell_length_c 31.0353
_cell_angle_alpha 90.00
_cell_angle_beta 90.00
_cell_angle_gamma 120.00
_symmetry_space_group_name_H-M 'R -3 m'
_symmetry_Int_Tables_number 166
_symmetry_space_group_name_Hall '-R 3 2"'
loop_
_atom_site_label
_atom_site_type_symbol
_atom_site_fract_x
_atom_site_fract_y
_atom_site_fract_z
Tb1 Tb 0.0000 0.0000 0.2398
Ho1 Ho 0.0000 0.0000 0.0000
Zn1 Zn 0.0000 0.0000 0.5000
```

B | Material: Tb2HoZn
Method: DFT, GGA-PBE
State: optimized geometry

Structure (CIF):
```
data_Tb2HoZn
_cell_length_a 3.571
_cell_length_b 3.571
_cell_length_c 8.575
_cell_angle_alpha 90.00
_cell_angle_beta 90.00
_cell_angle_gamma 90.00
_symmetry_space_group_name_H-M 'P 4/m m m'
_symmetry_Int_Tables_number 123
_symmetry_space_group_name_Hall '-P 4 2'
loop_
_atom_site_label
_atom_site_type_symbol
_atom_site_fract_x
_atom_site_fract_y
_atom_site_fract_z
Tb1 Tb 0.000 0.000 0.209
Ho1 Ho 0.500 0.500 0.500
Zn1 Zn 0.500 0.500 0.000
```

Stability ranking, top and bottom: B is the most stable and A is the least stable.

A | Material: Tb2HoZn
Method: DFT, GGA-PBE
State: optimized geometry

Structure (CIF):
```
data_Tb2HoZn
_cell_length_a 7.539
_cell_length_b 7.539
_cell_length_c 7.539
_cell_angle_alpha 90.00
_cell_angle_beta 90.00
_cell_angle_gamma 90.00
_symmetry_space_group_name_H-M 'F m -3 m'
_symmetry_Int_Tables_number 225
_symmetry_space_group_name_Hall '-F 4 2 3'
loop_
_atom_site_label
_atom_site_type_symbol
_atom_site_fract_x
_atom_site_fract_y
_atom_site_fract_z
Tb1 Tb 0.250 0.250 0.250
Ho1 Ho 0.000 0.000 0.000
Zn1 Zn 0.000 0.000 0.500
```

B | Material: Tb2HoZn
Method: DFT, GGA-PBE
State: optimized geometry

Structure (CIF):
```
data_Tb2HoZn
_cell_length_a 3.5981
_cell_length_b 3.5981
_cell_length_c 30.6662
_cell_angle_alpha 90.00
_cell_angle_beta 90.00
_cell_angle_gamma 120.00
_symmetry_space_group_name_H-M 'R 3 m'
_symmetry_Int_Tables_number 160
_symmetry_space_group_name_Hall 'R 3 -2"'
loop_
_atom_site_label
_atom_site_type_symbol
_atom_site_fract_x
_atom_site_fract_y
_atom_site_fract_z
Tb1 Tb 0.0000 0.0000 0.0000
Tb2 Tb 0.0000 0.0000 0.1876
Ho1 Ho 0.0000 0.0000 0.4273
Zn1 Zn 0.0000 0.0000 0.5934
```

C | Material: Tb2HoZn
Method: DFT, GGA-PBE
State: optimized geometry

Structure (CIF):
```
data_Tb2HoZn
_cell_length_a 5.353
_cell_length_b 5.353
_cell_length_c 3.766
_cell_angle_alpha 90.00
_cell_angle_beta 90.00
_cell_angle_gamma 90.00
_symmetry_space_group_name_H-M 'P 4/m m m'
_symmetry_Int_Tables_number 123
_symmetry_space_group_name_Hall '-P 4 2'
loop_
_atom_site_label
_atom_site_type_symbol
_atom_site_fract_x
_atom_site_fract_y
_atom_site_fract_z
Tb1 Tb 0.000 0.500 0.000
Ho1 Ho 0.000 0.000 0.500
Zn1 Zn 0.500 0.500 0.500
```

Stability ranking, top and bottom: B is the most stable and A is the least stable.

A | Material: Tb6HoZn2
Method: DFT, GGA-PBE
State: optimized geometry

Structure (CIF):
```
data_Tb6HoZn2
_cell_length_a 12.469
_cell_length_b 3.628
_cell_length_c 11.763
_cell_angle_alpha 90.00
_cell_angle_beta 109.41
_cell_angle_gamma 90.00
_symmetry_space_group_name_H-M 'C 1 2/m 1'
_symmetry_Int_Tables_number 12
_symmetry_space_group_name_Hall '-C 2y'
loop_
_atom_site_label
_atom_site_type_symbol
_atom_site_fract_x
_atom_site_fract_y
_atom_site_fract_z
Tb1 Tb 0.024 0.000 0.329
Tb2 Tb 0.187 0.500 0.590
Tb3 Tb 0.190 0.500 0.876
Ho1 Ho 0.000 0.000 0.000
Zn1 Zn 0.146 0.500 0.201
```

B | Material: Tb6HoZn2
Method: DFT, GGA-PBE
State: optimized geometry

Structure (CIF):
```
data_Tb6HoZn2
_cell_length_a 4.813
_cell_length_b 4.813
_cell_length_c 25.096
_cell_angle_alpha 90.00
_cell_angle_beta 90.00
_cell_angle_gamma 90.00
_symmetry_space_group_name_H-M 'I 4/m m m'
_symmetry_Int_Tables_number 139
_symmetry_space_group_name_Hall '-I 4 2'
loop_
_atom_site_label
_atom_site_type_symbol
_atom_site_fract_x
_atom_site_fract_y
_atom_site_fract_z
Tb1 Tb 0.000 0.500 0.106
Tb2 Tb 0.000 0.500 0.250
Ho1 Ho 0.000 0.000 0.000
Zn1 Zn 0.000 0.000 0.323
```

Stability ranking, top and bottom: A is the most stable and B is the least stable.